1.
VASP calculation (GGA-PBE) on a geometry-optimized SiB3Mo4 structure.

Cell lengths 3.159, 3.159, 22.467 Å; angles 90.00, 90.00, 120.00 degrees
Sites, in units of the cell vectors:
1 B 0.333 0.667 0.616
2 B 0.667 0.333 0.384
3 B 0.333 0.667 0.884
4 B 0.667 0.333 0.116
5 B 0.000 0.000 0.000
6 B 0.000 0.000 0.500
7 Mo 0.667 0.333 0.942
8 Mo 0.000 0.000 0.669
9 Mo 0.000 0.000 0.331
10 Mo 0.000 0.000 0.831
11 Mo 0.000 0.000 0.169
12 Mo 0.667 0.333 0.558
13 Mo 0.333 0.667 0.442
14 Mo 0.333 0.667 0.058
15 Si 0.333 0.667 0.250
16 Si 0.667 0.333 0.750

2.
VASP calculation (GGA-PBE) on a geometry-optimized SiBMo structure.

Computed properties:
energy relative to the lowest polymorph listed for this composition: 0 meV/atom

Cell lengths 3.713, 3.713, 3.713 Å; angles 60.00, 60.00, 60.00 degrees
Sites, in units of the cell vectors:
1 Mo 0.250 0.250 0.250
2 Si 0.750 0.750 0.750
3 B 0.000 0.000 0.000

3.
VASP calculation (GGA-PBE) on a geometry-optimized SiB2Mo structure.

Cell lengths 3.950, 3.950, 3.950 Å; angles 60.00, 60.00, 60.00 degrees
Sites, in units of the cell vectors:
1 B 0.500 0.500 0.500
2 B 0.250 0.250 0.250
3 Si 0.000 0.000 0.000
4 Mo 0.750 0.750 0.750

4.
VASP calculation (GGA-PBE) on a geometry-optimized SiB2Mo2 structure.

Cell lengths 5.804, 5.804, 3.142 Å; angles 90.00, 90.00, 149.39 degrees
Sites, in units of the cell vectors:
1 Mo 0.364 0.636 0.500
2 Mo 0.636 0.364 0.500
3 B 0.792 0.208 0.000
4 B 0.208 0.792 0.000
5 Si 0.000 0.000 0.000

5.
VASP calculation (GGA-PBE) on a geometry-optimized Si2B2Mo structure.

Cell lengths 5.071, 5.071, 5.071 Å; angles 140.82, 140.82, 56.61 degrees
Sites, in units of the cell vectors:
1 Si 0.750 0.250 0.500
2 Si 0.250 0.750 0.500
3 Mo 0.000 0.000 0.000
4 B 0.406 0.406 0.000
5 B 0.594 0.594 0.000

6.
VASP calculation (GGA-PBE) on a geometry-optimized SmBMo structure.

Computed properties:
energy relative to the lowest polymorph listed for this composition: 1427 meV/atom

Cell lengths 4.507, 4.507, 4.507 Å; angles 60.00, 60.00, 60.00 degrees
Sites, in units of the cell vectors:
1 B 0.250 0.250 0.250
2 Sm 0.000 0.000 0.000
3 Mo 0.750 0.750 0.750

7.
VASP calculation (GGA-PBE) on a geometry-optimized SmBMo structure.

Computed properties:
energy relative to the lowest polymorph listed for this composition: 0 meV/atom

Cell lengths 4.216, 4.216, 4.216 Å; angles 60.00, 60.00, 60.00 degrees
Sites, in units of the cell vectors:
1 Sm 0.250 0.250 0.250
2 B 0.000 0.000 0.000
3 Mo 0.750 0.750 0.750

8.
VASP calculation (GGA-PBE) on a geometry-optimized SmB4Mo structure.

Computed properties:
energy relative to the lowest polymorph listed for this composition: 0 meV/atom

Cell lengths 3.140, 3.140, 7.347 Å; angles 90.00, 90.00, 120.00 degrees
Sites, in units of the cell vectors:
1 Sm 0.000 0.000 0.000
2 B 0.333 0.667 0.719
3 B 0.333 0.667 0.281
4 B 0.667 0.333 0.281
5 B 0.667 0.333 0.719
6 Mo 0.000 0.000 0.500

9.
VASP calculation (GGA-PBE) on a geometry-optimized SmB4Mo structure.

Computed properties:
energy relative to the lowest polymorph listed for this composition: 126 meV/atom

Cell lengths 4.820, 4.820, 4.820 Å; angles 141.43, 110.54, 82.38 degrees
Sites, in units of the cell vectors:
1 Mo 0.000 0.000 0.000
2 B 0.593 0.255 0.338
3 B 0.917 0.255 0.662
4 B 0.083 0.745 0.338
5 B 0.407 0.745 0.662
6 Sm 0.500 0.500 0.000

10.
VASP calculation (GGA-PBE) on a geometry-optimized Sn2BMo structure.

Cell lengths 4.678, 4.678, 4.678 Å; angles 60.00, 60.00, 60.00 degrees
Each line ends with the local moment (μB).
Sites, in units of the cell vectors:
1 Sn 0.000 0.000 0.000  0.00
2 Sn 0.250 0.250 0.250  0.01
3 Mo 0.500 0.500 0.500  0.61
4 B 0.750 0.750 0.750  0.00

11.
VASP calculation (GGA-PBE) on a geometry-optimized SnB2Mo2 structure.

Cell lengths 6.902, 6.902, 3.119 Å; angles 90.00, 90.00, 154.51 degrees
Sites, in units of the cell vectors:
1 Mo 0.345 0.655 0.500
2 Mo 0.655 0.345 0.500
3 B 0.784 0.216 0.000
4 B 0.216 0.784 0.000
5 Sn 0.000 0.000 0.000

12.
VASP calculation (GGA-PBE) on a geometry-optimized SnBMo structure.

Computed properties:
energy relative to the lowest polymorph listed for this composition: 0 meV/atom

Cell lengths 4.003, 4.003, 4.003 Å; angles 60.00, 60.00, 60.00 degrees
Sites, in units of the cell vectors:
1 Mo 0.250 0.250 0.250
2 Sn 0.750 0.750 0.750
3 B 0.000 0.000 0.000

no.,final energy (eV per atom)
1,-8.891
2,-7.315
3,-6.120
4,-8.435
5,-6.487
6,-5.476
7,-6.904
8,-7.487
9,-7.361
10,-5.052
11,-7.937
12,-6.406